This record from Alexandria via LeMat-Bulk describes a relaxed NaScSeBr2 crystal. The functional is PBE.

```
NaScSeBr2
1.0
5.017 0.000 0.000
0.000 5.017 0.000
0.000 0.000 5.489
Na Sc Se Br
1 1 1 2
Cartesian
0.000 0.000 0.000
2.509 2.509 2.744
0.000 0.000 2.744
0.000 2.509 0.000
2.509 0.000 0.000
```

## Properties
Fermi-level density of states in states/eV per cell: 2.4
Total energy in eV per cell: -16.508
Raw formation energy in eV/atom: -0.41
ΔE to the lowest computed polymorph in meV/atom: 979.4
Volume in Å³/cell: 138

This record from Alexandria via LeMat-Bulk describes a relaxed TlSnF3 crystal. The functional is PBE.

```
TlSnF3
1.0
4.690 0.000 0.000
0.000 4.690 0.000
0.000 0.000 4.690
Tl Sn F
1 1 3
Cartesian
0.000 0.000 0.000
2.345 2.345 2.345
0.000 0.000 2.345
0.000 2.345 0.000
2.345 0.000 0.000
```

## Properties
Fermi-level density of states in states/eV per cell: 1.3
Total energy in eV per cell: -18.772
Raw formation energy in eV/atom: -1.36
Volume in Å³/cell: 103

This record from Alexandria via LeMat-Bulk describes a relaxed Dy2AsBr2 crystal. The functional is PBE.

```
Dy2AsBr2
1.0
4.077 0.000 0.000
-2.039 3.531 0.000
0.000 0.000 31.988
Dy As Br
6 3 6
Cartesian
0.000 0.000 3.757
0.000 0.000 28.232
0.000 2.354 17.569
0.000 2.354 25.082
2.039 1.177 6.906
2.039 1.177 14.419
0.000 0.000 15.994
0.000 2.354 5.331
2.039 1.177 26.657
0.000 0.000 8.697
0.000 0.000 23.291
0.000 2.354 12.629
0.000 2.354 30.022
2.039 1.177 1.966
2.039 1.177 19.360
```

## Properties
Fermi-level density of states in states/eV per cell: 5.1
Total energy in eV per cell: -77.124
Raw formation energy in eV/atom: -1.70
Volume in Å³/cell: 461

This record from Alexandria via LeMat-Bulk describes a relaxed ZnFeAg2Cl crystal. The functional is PBE.

```
ZnFeAg2Cl
1.0
4.943 0.000 0.000
0.000 4.943 0.000
0.000 0.000 4.775
Zn Fe Ag Cl
1 1 2 1
Cartesian
0.000 0.000 0.000
2.471 2.471 2.388
0.000 2.471 0.000
2.471 0.000 0.000
0.000 0.000 2.388
```

## Properties
Fermi-level density of states in states/eV per cell: 9.2
Total energy in eV per cell: -13.039
Raw formation energy in eV/atom: 0.85
Volume in Å³/cell: 117

This record from Alexandria via LeMat-Bulk describes a relaxed PaCuGe crystal. The functional is PBE.

```
PaCuGe
1.0
6.264 0.000 0.000
0.000 6.264 0.000
0.000 0.000 6.264
Pa Cu Ge
4 4 4
Cartesian
0.000 0.000 0.000
0.000 3.132 3.132
3.132 0.000 3.132
3.132 3.132 0.000
1.566 1.566 1.566
1.566 4.698 4.698
4.698 1.566 4.698
4.698 4.698 1.566
0.000 0.000 3.132
0.000 3.132 0.000
3.132 0.000 0.000
3.132 3.132 3.132
```

## Properties
Fermi-level density of states in states/eV per cell: 11.1
Total energy in eV per cell: -74.896
ΔE to the lowest computed polymorph in meV/atom: 203.1
Volume in Å³/cell: 246
Energy of formation in meV/atom: -171

This record from Alexandria via LeMat-Bulk describes a relaxed PrB2Ru crystal. The functional is PBE.

```
PrB2Ru
1.0
3.362 0.000 0.000
0.000 12.275 0.000
0.000 0.000 5.242
Pr B Ru
4 8 4
Cartesian
0.000 2.708 1.310
0.000 9.567 3.931
1.681 3.430 3.931
1.681 8.845 1.310
0.000 5.363 3.040
0.000 5.363 4.823
0.000 6.912 0.419
0.000 6.912 2.202
1.681 0.775 0.419
1.681 0.775 2.202
1.681 11.500 3.040
1.681 11.500 4.823
0.000 0.516 3.931
0.000 11.759 1.310
1.681 5.621 1.310
1.681 6.654 3.931
```

## Properties
Fermi-level density of states in states/eV per cell: 6.3
Total energy in eV per cell: -112.929
ΔE to the lowest computed polymorph in meV/atom: 0.0
Volume in Å³/cell: 216
Energy of formation in meV/atom: -206

This record from Alexandria via LeMat-Bulk describes a relaxed Pr2HoErTe5 crystal. The functional is PBE.

```
Pr2HoErTe5
1.0
5.527 0.000 0.000
0.000 5.527 0.000
0.000 0.000 11.506
Pr Ho Er Te
2 1 1 5
Cartesian
0.000 0.000 1.932
0.000 0.000 9.574
2.763 2.763 0.000
2.763 2.763 5.753
0.000 0.000 5.753
0.000 2.763 0.000
2.763 0.000 0.000
2.763 2.763 2.939
2.763 2.763 8.566
```

## Properties
Fermi-level density of states in states/eV per cell: 5.7
Total energy in eV per cell: -41.772
Raw formation energy in eV/atom: -0.82
Volume in Å³/cell: 351

This record from Alexandria via LeMat-Bulk describes a relaxed BaCaPt10 crystal. The functional is PBE.

```
BaCaPt10
1.0
4.394 0.000 0.000
0.000 5.517 0.000
0.000 0.000 9.518
Ba Ca Pt
1 1 10
Cartesian
0.000 0.000 0.000
0.000 2.759 4.759
0.000 0.000 3.250
0.000 0.000 6.268
0.000 2.759 1.675
0.000 2.759 7.843
2.197 0.000 4.759
2.197 1.390 2.432
2.197 1.390 7.086
2.197 2.759 0.000
2.197 4.127 2.432
2.197 4.127 7.086
```

## Properties
Fermi-level density of states in states/eV per cell: 7.1
Total energy in eV per cell: -70.534
Volume in Å³/cell: 231
Energy of formation in meV/atom: -517